[1]
Computed, not measured: a geometry-optimized CsPmPtO4 structure at the GGA-PBE level of DFT.

Output
- total moment (μB/cell) = 0.00

CIF file:
```
data_CsPmPtO4
_cell_length_a 6.214
_cell_length_b 5.854
_cell_length_c 8.952
_cell_angle_alpha 90.00
_cell_angle_beta 119.06
_cell_angle_gamma 90.00
_symmetry_space_group_name_H-M 'P 1'
_symmetry_Int_Tables_number 1
loop_
_symmetry_equiv_pos_as_xyz
'x,y,z'
loop_
_atom_site_label
_atom_site_fract_x
_atom_site_fract_y
_atom_site_fract_z
Cs1 0.431 0.250 0.110
Cs2 0.569 0.750 0.890
O1 0.462 0.750 0.541
O2 0.075 0.470 0.681
O3 0.925 0.530 0.319
O4 0.400 0.750 0.232
O5 0.925 0.970 0.319
O6 0.075 0.030 0.681
O7 0.538 0.250 0.459
Pt1 0.834 0.250 0.687
Pt2 0.166 0.750 0.313
Pm1 0.207 0.250 0.516
Pm2 0.793 0.750 0.484
O8 0.600 0.250 0.768
```

=====

[2]
Computed, not measured: a geometry-optimized Li2AcSiPt4 structure at the GGA-PBE level of DFT.

Output
- total moment (μB/cell) = 0.00

CIF file:
```
data_Li2AcSiPt4
_cell_length_a 4.284
_cell_length_b 4.284
_cell_length_c 9.083
_cell_angle_alpha 76.36
_cell_angle_beta 76.36
_cell_angle_gamma 60.00
_symmetry_space_group_name_H-M 'P 1'
_symmetry_Int_Tables_number 1
loop_
_symmetry_equiv_pos_as_xyz
'x,y,z'
loop_
_atom_site_label
_atom_site_fract_x
_atom_site_fract_y
_atom_site_fract_z
Si1 0.500 0.500 0.500
Ac1 0.000 0.000 0.000
Pt1 0.593 0.593 0.222
Pt2 0.407 0.407 0.778
Li1 0.763 0.763 0.710
Pt3 0.863 0.863 0.412
Pt4 0.137 0.137 0.588
Li2 0.237 0.237 0.290
```

=====

[3]
Computed, not measured: a geometry-optimized Pm3MgAg7 structure at the GGA-PBE level of DFT.

Output
- energy of formation from the pure elements (kcal/mol of atoms) = -3.443
- total moment (μB/cell) = 0.00

CIF file:
```
data_Pm3MgAg7
_cell_length_a 4.617
_cell_length_b 10.999
_cell_length_c 10.570
_cell_angle_alpha 90.00
_cell_angle_beta 90.00
_cell_angle_gamma 102.11
_symmetry_space_group_name_H-M 'P 1'
_symmetry_Int_Tables_number 1
loop_
_symmetry_equiv_pos_as_xyz
'x,y,z'
loop_
_atom_site_label
_atom_site_fract_x
_atom_site_fract_y
_atom_site_fract_z
Ag1 0.344 0.688 0.750
Ag2 0.282 0.565 0.020
Ag3 0.718 0.435 0.520
Ag4 0.469 0.939 0.619
Ag5 0.531 0.061 0.381
Mg1 0.033 0.065 0.750
Pm1 0.126 0.252 0.065
Ag6 0.282 0.565 0.480
Ag7 0.401 0.802 0.378
Pm2 0.126 0.252 0.435
Ag8 0.469 0.939 0.881
Mg2 0.967 0.935 0.250
Pm3 0.800 0.600 0.250
Pm4 0.200 0.400 0.750
Pm5 0.874 0.748 0.565
Pm6 0.874 0.748 0.935
Ag9 0.599 0.198 0.878
Ag10 0.531 0.061 0.119
Ag11 0.401 0.802 0.122
Ag12 0.656 0.312 0.250
Ag13 0.599 0.198 0.622
Ag14 0.718 0.435 0.980
```

=====

Number 1: energy -6.033 eV/atom. Number 2: energy -5.474 eV/atom. Number 3: energy -3.404 eV/atom.